Entry 1:
Density functional theory data (PBE-GGA) for a geometry-optimized Mg2NiPd2 structure.

Lattice parameters (Å, degrees): 7.317 7.317 2.981 90.00 90.00 90.00
Fractional coordinates of all 10 atoms:
Ni1 0.500 0.500 0.000
Ni2 0.000 0.000 0.000
Pd1 0.348 0.152 0.500
Pd2 0.652 0.848 0.500
Pd3 0.152 0.652 0.500
Pd4 0.848 0.348 0.500
Mg1 0.352 0.852 0.000
Mg2 0.648 0.148 0.000
Mg3 0.852 0.648 0.000
Mg4 0.148 0.352 0.000

Output
As for the space-group type: P4/mbm, No. 127. For the formation energy, the calculation gives -0.22 eV per atom. As for the volume: 79.80 Å³/f.u.

Entry 2:
Density functional theory data (PBE-GGA) for a geometry-optimized LiCaY2N structure.

Lattice parameters (Å, degrees): 4.778 4.778 5.278 90.00 90.00 90.00
Fractional coordinates of all 5 atoms:
Y1 0.500 0.000 0.000
Y2 0.000 0.500 0.000
N1 0.000 0.000 0.000
Li1 0.500 0.500 0.500
Ca1 0.000 0.000 0.500

Output
As for the space-group type: P4/mmm, No. 123. As for the volume: 120.51 Å³/f.u. The uncorrected formation energy comes out at -2.51 eV per formula unit.

Entry 3:
Density functional theory data (PBE-GGA) for a geometry-optimized LaSc2Fe structure.

Lattice parameters (Å, degrees): 3.562 3.562 8.239 64.65 90.00 90.00
Site moments in Bohr magnetons follow the coordinates.
Fractional coordinates of all 4 atoms:
La1 0.500 0.783 0.714  -0.01
Sc1 0.500 0.203 0.298  -0.36
Sc2 0.000 0.950 0.049  0.02
Fe1 0.000 0.564 0.438  2.00

Output
As for the space-group type: Pm, No. 6. For the formation energy, the calculation gives 0.10 eV per atom. As for the volume: 94.47 Å³/f.u.

Entry 4:
Density functional theory data (PBE-GGA) for a geometry-optimized KBa2Br2 structure.

Lattice parameters (Å, degrees): 10.532 10.532 3.953 90.00 90.00 90.00
Site moments in Bohr magnetons follow the coordinates.
Fractional coordinates of all 10 atoms:
Ba1 0.653 0.153 0.000  0.07
Ba2 0.347 0.847 0.000  0.07
Ba3 0.847 0.653 0.000  0.07
Ba4 0.153 0.347 0.000  0.07
Br1 0.126 0.626 0.500  0.00
Br2 0.374 0.126 0.500  0.00
Br3 0.874 0.374 0.500  0.00
Br4 0.626 0.874 0.500  0.00
K1 0.500 0.500 0.000  0.00
K2 0.000 0.000 0.000  0.00

Output
As for the space-group type: P4/mbm, No. 127. As for the volume: 219.25 Å³/f.u. The uncorrected formation energy comes out at -4.87 eV per formula unit.

Entry 5:
Density functional theory data (PBE-GGA) for a geometry-optimized TaBeAgMo2 structure.

Lattice parameters (Å, degrees): 4.878 3.877 4.878 90.00 90.00 90.00
Fractional coordinates of all 5 atoms:
Be1 0.000 0.500 0.000
Ag1 0.000 0.000 0.000
Ta1 0.500 0.500 0.500
Mo1 0.500 0.000 0.000
Mo2 0.000 0.000 0.500

Output
As for the space-group type: P4/mmm, No. 123. For the formation energy, the calculation gives 1.72 eV per atom. As for the volume: 92.25 Å³/f.u.

Entry 6:
Density functional theory data (PBE-GGA) for a geometry-optimized LaOsS2 structure.

Lattice parameters (Å, degrees): 5.285 5.285 7.679 69.87 69.87 90.00
Fractional coordinates of all 8 atoms:
Os1 0.000 0.000 0.000
Os2 0.750 0.250 0.500
La1 0.250 0.750 0.500
La2 0.500 0.500 0.000
S1 0.875 0.961 0.750
S2 0.711 0.125 0.250
S3 0.039 0.625 0.250
S4 0.375 0.289 0.750

Output
As for the space-group type: I-42d, No. 122. As for the volume: 93.71 Å³/f.u. The uncorrected formation energy comes out at -2.72 eV per formula unit.

Entry 7:
Density functional theory data (PBE-GGA) for a geometry-optimized Cd2HgBr structure.

Lattice parameters (Å, degrees): 8.169 8.169 6.675 52.27 52.27 90.00
Fractional coordinates of all 8 atoms:
Cd1 0.875 0.884 0.750
Cd2 0.375 0.366 0.750
Cd3 0.116 0.625 0.250
Cd4 0.634 0.125 0.250
Hg1 0.000 0.000 0.000
Hg2 0.750 0.250 0.500
Br1 0.250 0.750 0.500
Br2 0.500 0.500 0.000

Output
As for the space-group type: I-42d, No. 122. As for the volume: 111.59 Å³/f.u. The uncorrected formation energy comes out at -0.67 eV per formula unit.

Entry 8:
Density functional theory data (PBE-GGA) for a geometry-optimized SrCo4Mo structure.

Lattice parameters (Å, degrees): 4.933 4.933 4.933 60.00 60.00 60.00
Site moments in Bohr magnetons follow the coordinates.
Fractional coordinates of all 6 atoms:
Mo1 0.750 0.750 0.750  -0.54
Co1 0.375 0.375 0.375  0.67
Co2 0.375 0.874 0.375  0.67
Co3 0.874 0.375 0.375  0.67
Co4 0.375 0.375 0.874  0.67
Sr1 0.000 0.000 0.000  -0.06

Output
As for the space-group type: F-43m, No. 216. For the formation energy, the calculation gives 0.54 eV per atom. As for the volume: 84.88 Å³/f.u.

Entry 9:
Density functional theory data (PBE-GGA) for a geometry-optimized InAs4Cl structure.

Lattice parameters (Å, degrees): 6.207 6.207 6.207 60.00 60.00 60.00
Fractional coordinates of all 6 atoms:
As1 0.798 0.401 0.401
As2 0.401 0.401 0.798
As3 0.401 0.401 0.401
As4 0.401 0.798 0.401
In1 0.000 0.000 0.000
Cl1 0.750 0.750 0.750

Output
As for the space-group type: F-43m, No. 216. As for the volume: 169.09 Å³/f.u. The uncorrected formation energy comes out at -0.27 eV per formula unit.

Entry 10:
Density functional theory data (PBE-GGA) for a geometry-optimized AlBi3Pt12 structure.

Lattice parameters (Å, degrees): 4.098 4.098 16.578 90.00 90.00 90.00
Fractional coordinates of all 16 atoms:
Pt1 0.000 0.500 0.630
Pt2 0.500 0.000 0.370
Pt3 0.500 0.000 0.891
Pt4 0.500 0.000 0.109
Pt5 0.000 0.500 0.891
Pt6 0.500 0.500 0.500
Pt7 0.500 0.500 0.239
Pt8 0.500 0.500 0.761
Pt9 0.500 0.000 0.630
Pt10 0.000 0.500 0.370
Pt11 0.500 0.500 0.000
Pt12 0.000 0.500 0.109
Bi1 0.000 0.000 0.760
Bi2 0.000 0.000 0.500
Bi3 0.000 0.000 0.240
Al1 0.000 0.000 0.000

Output
As for the space-group type: P4/mmm, No. 123. For the formation energy, the calculation gives -0.19 eV per atom. As for the volume: 278.37 Å³/f.u.

Entry 11:
Density functional theory data (PBE-GGA) for a geometry-optimized ZrNiTeN2 structure.

Lattice parameters (Å, degrees): 3.978 3.978 4.781 90.00 90.00 90.00
Fractional coordinates of all 5 atoms:
Te1 0.000 0.000 0.500
N1 0.500 0.000 0.000
N2 0.000 0.500 0.000
Zr1 0.500 0.500 0.500
Ni1 0.000 0.000 0.000

Output
As for the space-group type: P4/mmm, No. 123. As for the volume: 75.67 Å³/f.u. The uncorrected formation energy comes out at 4.59 eV per formula unit.

Entry 12:
Density functional theory data (PBE-GGA) for a geometry-optimized LaSm12Tl4O3 structure.

Lattice parameters (Å, degrees): 8.776 8.776 8.776 109.47 109.47 109.47
Fractional coordinates of all 20 atoms:
Sm1 0.000 0.727 0.727
Sm2 0.500 0.750 0.250
Sm3 0.727 0.727 0.000
Sm4 0.273 0.273 0.000
Sm5 0.250 0.750 0.500
Sm6 0.727 0.000 0.727
Sm7 0.750 0.250 0.500
Sm8 0.750 0.500 0.250
Sm9 0.000 0.273 0.273
Sm10 0.273 0.000 0.273
Sm11 0.250 0.500 0.750
Sm12 0.500 0.250 0.750
O1 0.500 0.500 0.000
O2 0.000 0.500 0.500
O3 0.500 0.000 0.500
Tl1 0.000 0.500 0.000
Tl2 0.500 0.000 0.000
Tl3 0.500 0.500 0.500
Tl4 0.000 0.000 0.500
La1 0.000 0.000 0.000

Output
As for the space-group type: Im-3m, No. 229. As for the volume: 520.33 Å³/f.u. The uncorrected formation energy comes out at -15.06 eV per formula unit.